[1]
{"formula": "RbZnAsO", "functional": "PBE-GGA", "state": "relaxed", "lattice": [[4.134, 0.000, 0.000], [0.000, 4.134, 0.000], [0.000, 0.000, 11.243]], "species": ["Zn", "Zn", "Rb", "Rb", "O", "O", "As", "As"], "frac_coords": [[0.750, 0.750, 0.038], [0.250, 0.250, 0.962], [0.250, 0.750, 0.500], [0.750, 0.250, 0.500], [0.250, 0.750, 0.000], [0.750, 0.250, 0.000], [0.750, 0.750, 0.265], [0.250, 0.250, 0.735]], "de_polymorph_mev_per_atom": 837, "mass_density_g_cm3": 4.180}

[2]
{"formula": "RbZrAsO5", "functional": "PBE-GGA", "state": "relaxed", "lattice": [[13.761, 0.000, 0.000], [0.000, 6.878, 0.000], [0.000, 0.000, 11.307]], "species": ["O", "O", "O", "O", "O", "O", "O", "O", "O", "O", "O", "O", "O", "O", "O", "O", "O", "O", "O", "O", "O", "O", "O", "O", "O", "O", "O", "O", "O", "O", "O", "O", "O", "O", "O", "O", "O", "O", "O", "O", "As", "As", "As", "As", "As", "As", "As", "As", "Zr", "Zr", "Zr", "Zr", "Zr", "Zr", "Zr", "Zr", "Rb", "Rb", "Rb", "Rb", "Rb", "Rb", "Rb", "Rb"], "frac_coords": [[0.504, 0.465, 0.361], [0.276, 0.549, 0.859], [0.009, 0.994, 0.619], [0.594, 0.180, 0.210], [0.776, 0.951, 0.859], [0.255, 0.530, 0.601], [0.509, 0.506, 0.619], [0.247, 0.971, 0.866], [0.778, 0.029, 0.113], [0.104, 0.309, 0.515], [0.604, 0.191, 0.515], [0.397, 0.186, 0.250], [0.753, 0.029, 0.366], [0.496, 0.535, 0.861], [0.103, 0.686, 0.750], [0.755, 0.970, 0.601], [0.396, 0.809, 0.015], [0.898, 0.304, 0.958], [0.722, 0.529, 0.613], [0.245, 0.030, 0.101], [0.603, 0.814, 0.750], [0.491, 0.494, 0.119], [0.406, 0.820, 0.710], [0.224, 0.049, 0.359], [0.906, 0.680, 0.710], [0.004, 0.035, 0.361], [0.222, 0.971, 0.613], [0.724, 0.451, 0.359], [0.278, 0.471, 0.113], [0.747, 0.529, 0.866], [0.094, 0.320, 0.210], [0.996, 0.965, 0.861], [0.253, 0.471, 0.366], [0.398, 0.196, 0.958], [0.991, 0.006, 0.119], [0.602, 0.804, 0.458], [0.745, 0.470, 0.101], [0.102, 0.696, 0.458], [0.897, 0.314, 0.250], [0.896, 0.691, 0.015], [0.003, 0.832, 0.733], [0.677, 0.997, 0.484], [0.823, 0.497, 0.984], [0.997, 0.168, 0.233], [0.497, 0.332, 0.233], [0.503, 0.668, 0.733], [0.323, 0.003, 0.984], [0.177, 0.503, 0.484], [0.625, 0.500, 0.482], [0.744, 0.244, 0.229], [0.875, 0.000, 0.982], [0.375, 0.500, 0.982], [0.244, 0.256, 0.229], [0.756, 0.744, 0.729], [0.256, 0.756, 0.729], [0.125, 0.000, 0.482], [0.378, 0.779, 0.290], [0.878, 0.721, 0.290], [0.110, 0.691, 0.044], [0.890, 0.309, 0.544], [0.122, 0.279, 0.790], [0.622, 0.221, 0.790], [0.390, 0.191, 0.544], [0.610, 0.809, 0.044]], "e_tot_ev_per_cell": -454.56, "mass_density_g_cm3": 4.117}

[3]
{"formula": "ReAs2O", "functional": "PBE-GGA", "state": "relaxed", "lattice": [[-1.914, 2.081, 0.740], [-4.504, -4.079, -0.181], [1.170, -1.629, 7.604]], "species": ["As", "As", "As", "As", "Re", "Re", "O", "O"], "frac_coords": [[0.500, 0.250, 0.279], [0.500, 0.750, 0.779], [0.000, 0.256, 0.600], [0.000, 0.744, 0.100], [0.500, 0.577, 0.506], [0.500, 0.423, 0.006], [0.000, 0.723, 0.370], [0.000, 0.277, 0.870]], "e_tot_ev_per_cell": -54.78, "mass_density_g_cm3": 8.368}